VASP calculation (PBE) on Cs3CoAg2Br6 after structural relaxation.

Summary:
Spin magnetization   2.1 μB/f.u.
V   43.60 Å³/atom
Energy   -35.72 eV per cell
D(E_F)   0.62 states/eV/atom
Formation energy without anion corrections   -0.8591 eV/atom

Lattice parameters (Å, degrees): 8.1164 8.1164 9.1704 90.00 90.00 120.00
Space group P-3m1 (No. 164)
Symmetry-distinct sites (fractional):
Cs 0.0000 0.0000 0.0000 (multiplicity 1)
Cs 0.3333 0.6667 0.6624 (multiplicity 2)
Co 0.0000 0.0000 0.5000 (multiplicity 1)
Ag 0.3333 0.6667 0.2817 (multiplicity 2)
Br 0.1491 0.2982 0.3166 (multiplicity 6)



VASP calculation (PBE) on CaPrIrAu after structural relaxation.

Summary:
Spin magnetization   0.0 μB/f.u.
V   23.11 Å³/atom
Energy   -85.05 eV per cell
D(E_F)   0.50 states/eV/atom
Formation energy from the elements   -0.59 eV per atom

Lattice parameters (Å, degrees): 7.177 7.177 7.177 90.00 90.00 90.00
Space group F-43m (No. 216)
Symmetry-distinct sites (fractional):
Ca 0.000 0.000 0.000 (multiplicity 4)
Pr 0.000 0.000 0.500 (multiplicity 4)
Ir 0.250 0.250 0.750 (multiplicity 4)
Au 0.250 0.250 0.250 (multiplicity 4)



VASP calculation (PBE) on LaY4Th2 after structural relaxation.

Summary:
Spin magnetization   0.0 μB/f.u.
V   37.53 Å³/atom
Energy   -80.10 eV per cell
D(E_F)   1.77 states/eV/atom
Formation energy from the elements   0.80 eV per atom

Lattice parameters (Å, degrees): 5.610 5.610 16.697 90.00 90.00 90.00
Space group I4/mmm (No. 139)
Symmetry-distinct sites (fractional):
La 0.000 0.000 0.000 (multiplicity 2)
Y 0.000 0.000 0.180 (multiplicity 4)
Y 0.000 0.500 0.000 (multiplicity 4)
Th 0.000 0.000 0.385 (multiplicity 4)



VASP calculation (PBE) on ErMn3Pd12 after structural relaxation.

Summary:
Spin magnetization   13.2 μB/f.u.
V   15.65 Å³/atom
Energy   -100.47 eV per cell
D(E_F)   1.09 states/eV/atom
Formation energy from the elements   -0.38 eV per atom

Lattice parameters (Å, degrees): 3.981 3.981 15.804 90.00 90.00 90.00
Space group P4/mmm (No. 123)
Symmetry-distinct sites (fractional):
Er 0.000 0.000 0.000 (multiplicity 1)
Mn 0.000 0.000 0.257 (multiplicity 2)
Mn 0.000 0.000 0.500 (multiplicity 1)
Pd 0.000 0.500 0.134 (multiplicity 4)
Pd 0.000 0.500 0.378 (multiplicity 4)
Pd 0.500 0.500 0.000 (multiplicity 1)
Pd 0.500 0.500 0.256 (multiplicity 2)
Pd 0.500 0.500 0.500 (multiplicity 1)



VASP calculation (PBE) on Y2InAu after structural relaxation.

Summary:
Spin magnetization   0.0 μB/f.u.
V   25.03 Å³/atom
Energy   -41.85 eV per cell
D(E_F)   1.09 states/eV/atom
Formation energy from the elements   -0.50 eV per atom

Lattice parameters (Å, degrees): 4.395 4.395 10.366 90.00 90.00 90.00
Space group I-4m2 (No. 119)
Symmetry-distinct sites (fractional):
Y 0.000 0.000 0.000 (multiplicity 2)
Y 0.000 0.500 0.250 (multiplicity 2)
In 0.000 0.000 0.500 (multiplicity 2)
Au 0.000 0.500 0.750 (multiplicity 2)



VASP calculation (PBE) on NaGe3Pd3 after structural relaxation.

Summary:
Spin magnetization   0.0 μB/f.u.
V   23.60 Å³/atom
Energy   -63.59 eV per cell
D(E_F)   0.37 states/eV/atom
Formation energy from the elements   -0.15 eV per atom

Lattice parameters (Å, degrees): 6.913 6.913 6.913 90.00 90.00 90.00
Space group Pm-3n (No. 223)
Symmetry-distinct sites (fractional):
Na 0.000 0.000 0.000 (multiplicity 2)
Ge 0.000 0.250 0.500 (multiplicity 6)
Pd 0.000 0.500 0.250 (multiplicity 6)



VASP calculation (PBE) on GdHoThMg after structural relaxation.

Summary:
Spin magnetization   8.7 μB/f.u.
V   30.23 Å³/atom
Energy   -108.18 eV per cell
D(E_F)   1.25 states/eV/atom
Formation energy from the elements   0.16 eV per atom

Lattice parameters (Å, degrees): 7.850 7.850 7.850 90.00 90.00 90.00
Space group F-43m (No. 216)
Symmetry-distinct sites (fractional):
Gd 0.000 0.000 0.000 (multiplicity 4)
Ho 0.000 0.000 0.500 (multiplicity 4)
Th 0.250 0.250 0.750 (multiplicity 4)
Mg 0.250 0.250 0.250 (multiplicity 4)



VASP calculation (PBE) on Pm2Ga4Cu3Ni after structural relaxation.

Summary:
Spin magnetization   0.0 μB/f.u.
V   17.63 Å³/atom
Energy   -44.36 eV per cell
D(E_F)   0.64 states/eV/atom
Formation energy from the elements   -0.47 eV per atom

Lattice parameters (Å, degrees): 4.183 4.183 10.079 90.00 90.00 90.00
Space group P-4m2 (No. 115)
Symmetry-distinct sites (fractional):
Pm 0.000 0.500 0.243 (multiplicity 2)
Ga 0.000 0.000 0.500 (multiplicity 1)
Ga 0.000 0.500 0.877 (multiplicity 2)
Ga 0.500 0.500 0.500 (multiplicity 1)
Cu 0.000 0.000 0.000 (multiplicity 1)
Cu 0.000 0.500 0.635 (multiplicity 2)
Ni 0.500 0.500 0.000 (multiplicity 1)



VASP calculation (PBE) on TmNp3S6 after structural relaxation.

Summary:
Spin magnetization   11.9 μB/f.u.
V   22.84 Å³/atom
Energy   -166.36 eV per cell
D(E_F)   2.63 states/eV/atom
Formation energy without anion corrections   -1.5121 eV/atom

Lattice parameters (Å, degrees): 10.841 3.926 11.288 90.00 108.07 90.00
Space group P2_1/m (No. 11)
Symmetry-distinct sites (fractional):
Tm 0.043 0.250 0.188 (multiplicity 2)
Np 0.160 0.250 0.581 (multiplicity 2)
Np 0.319 0.750 0.997 (multiplicity 2)
Np 0.426 0.250 0.332 (multiplicity 2)
S 0.083 0.750 0.400 (multiplicity 2)
S 0.111 0.250 0.962 (multiplicity 2)
S 0.190 0.750 0.749 (multiplicity 2)
S 0.250 0.750 0.220 (multiplicity 2)
S 0.403 0.250 0.565 (multiplicity 2)
S 0.485 0.250 0.118 (multiplicity 2)



VASP calculation (PBE) on Zn2InGa2 after structural relaxation.

Summary:
Spin magnetization   0.0 μB/f.u.
V   19.36 Å³/atom
Energy   -22.02 eV per cell
D(E_F)   0.41 states/eV/atom
Formation energy from the elements   0.07 eV per atom

Lattice parameters (Å, degrees): 7.794 7.794 3.187 90.00 90.00 90.00
Space group P4/mbm (No. 127)
Symmetry-distinct sites (fractional):
Zn 0.122 0.378 0.000 (multiplicity 4)
In 0.000 0.000 0.000 (multiplicity 2)
Ga 0.175 0.675 0.500 (multiplicity 4)



VASP calculation (PBE) on ThMgGe2Rh5 after structural relaxation.

Summary:
Spin magnetization   0.0 μB/f.u.
V   17.50 Å³/atom
Energy   -60.49 eV per cell
D(E_F)   0.64 states/eV/atom
Formation energy from the elements   -0.61 eV per atom

Lattice parameters (Å, degrees): 4.192 4.192 8.966 90.00 90.00 90.00
Space group P4/mmm (No. 123)
Symmetry-distinct sites (fractional):
Th 0.000 0.000 0.000 (multiplicity 1)
Mg 0.000 0.000 0.500 (multiplicity 1)
Ge 0.500 0.500 0.364 (multiplicity 2)
Rh 0.000 0.500 0.233 (multiplicity 4)
Rh 0.500 0.500 0.000 (multiplicity 1)



VASP calculation (PBE) on MnPbW2 after structural relaxation.

Summary:
Spin magnetization   0.0 μB/f.u.
V   17.00 Å³/atom
Energy   -71.98 eV per cell
D(E_F)   0.71 states/eV/atom
Formation energy from the elements   0.70 eV per atom

Lattice parameters (Å, degrees): 3.873 4.460 7.874 90.00 90.00 90.00
Space group Cmmm (No. 65)
Symmetry-distinct sites (fractional):
Mn 0.000 0.000 0.000 (multiplicity 2)
Pb 0.000 0.000 0.500 (multiplicity 2)
W 0.000 0.500 0.200 (multiplicity 4)



VASP calculation (PBE) on ThNiSnAu after structural relaxation.

Summary:
Spin magnetization   0.0 μB/f.u.
V   21.36 Å³/atom
Energy   -89.26 eV per cell
D(E_F)   0.61 states/eV/atom
Formation energy from the elements   -0.46 eV per atom

Lattice parameters (Å, degrees): 6.992 6.992 6.992 90.00 90.00 90.00
Space group F-43m (No. 216)
Symmetry-distinct sites (fractional):
Th 0.000 0.000 0.000 (multiplicity 4)
Ni 0.250 0.250 0.750 (multiplicity 4)
Sn 0.000 0.000 0.500 (multiplicity 4)
Au 0.250 0.250 0.250 (multiplicity 4)



VASP calculation (PBE) on NaEuCdIn after structural relaxation.

Summary:
Spin magnetization   7.2 μB/f.u.
V   28.35 Å³/atom
Energy   -64.61 eV per cell
D(E_F)   2.53 states/eV/atom
Formation energy from the elements   -0.23 eV per atom

Lattice parameters (Å, degrees): 7.683 7.683 7.683 90.00 90.00 90.00
Space group F-43m (No. 216)
Symmetry-distinct sites (fractional):
Na 0.000 0.000 0.000 (multiplicity 4)
Eu 0.000 0.000 0.500 (multiplicity 4)
Cd 0.250 0.250 0.750 (multiplicity 4)
In 0.250 0.250 0.250 (multiplicity 4)



VASP calculation (PBE) on NdTm4Te5 after structural relaxation.

Summary:
Spin magnetization   0.0 μB/f.u.
V   28.96 Å³/atom
Energy   -100.98 eV per cell
D(E_F)   0.61 states/eV/atom
Formation energy without anion corrections   -1.2127 eV/atom

Lattice parameters (Å, degrees): 4.307 6.128 21.946 90.00 90.00 90.00
Space group Immm (No. 71)
Symmetry-distinct sites (fractional):
Nd 0.000 0.000 0.000 (multiplicity 2)
Tm 0.000 0.000 0.205 (multiplicity 4)
Tm 0.000 0.000 0.403 (multiplicity 4)
Te 0.000 0.500 0.000 (multiplicity 2)
Te 0.000 0.500 0.197 (multiplicity 4)
Te 0.000 0.500 0.393 (multiplicity 4)



VASP calculation (PBE) on SrTaP2S after structural relaxation.

Summary:
Spin magnetization   1.4 μB/f.u.
V   27.70 Å³/atom
Energy   -20.12 eV per cell
D(E_F)   1.34 states/eV/atom
Formation energy without anion corrections   1.6723 eV/atom

Lattice parameters (Å, degrees): 5.158 5.158 5.205 90.00 90.00 90.00
Space group P4/mmm (No. 123)
Symmetry-distinct sites (fractional):
Sr 0.000 0.000 0.000 (multiplicity 1)
Ta 0.500 0.500 0.500 (multiplicity 1)
P 0.000 0.500 0.000 (multiplicity 2)
S 0.000 0.000 0.500 (multiplicity 1)



VASP calculation (PBE) on Tb2TmUO8 after structural relaxation.

Summary:
Spin magnetization   0.0 μB/f.u.
V   12.86 Å³/atom
Energy   -104.10 eV per cell
D(E_F)   0.68 states/eV/atom
Formation energy without anion corrections   -3.2849 eV/atom

Lattice parameters (Å, degrees): 3.847 5.335 7.518 90.00 90.00 90.00
Space group Pmmm (No. 47)
Symmetry-distinct sites (fractional):
Tb 0.000 0.000 0.248 (multiplicity 2)
Tm 0.500 0.500 0.000 (multiplicity 1)
U 0.500 0.500 0.500 (multiplicity 1)
O 0.000 0.255 0.000 (multiplicity 2)
O 0.000 0.268 0.500 (multiplicity 2)
O 0.500 0.261 0.269 (multiplicity 4)



VASP calculation (PBE) on CaBeRe2Os after structural relaxation.

Summary:
Spin magnetization   0.2 μB/f.u.
V   16.73 Å³/atom
Energy   -25.93 eV per cell
D(E_F)   1.12 states/eV/atom
Formation energy from the elements   3.18 eV per atom

Lattice parameters (Å, degrees): 4.503 4.503 4.126 90.00 90.00 90.00
Space group P4/mmm (No. 123)
Symmetry-distinct sites (fractional):
Ca 0.000 0.000 0.000 (multiplicity 1)
Be 0.000 0.000 0.500 (multiplicity 1)
Re 0.000 0.500 0.000 (multiplicity 2)
Os 0.500 0.500 0.500 (multiplicity 1)



VASP calculation (PBE) on MgRhNO2 after structural relaxation.

Summary:
Spin magnetization   3.8 μB/f.u.
V   11.63 Å³/atom
Energy   -24.54 eV per cell
D(E_F)   0.86 states/eV/atom
Formation energy without anion corrections   0.5293 eV/atom

Lattice parameters (Å, degrees): 3.744 3.744 4.147 90.00 90.00 90.00
Space group P4/mmm (No. 123)
Symmetry-distinct sites (fractional):
Mg 0.000 0.000 0.000 (multiplicity 1)
Rh 0.500 0.500 0.500 (multiplicity 1)
N 0.000 0.000 0.500 (multiplicity 1)
O 0.000 0.500 0.000 (multiplicity 2)



VASP calculation (PBE) on CoTeMo2 after structural relaxation.

Summary:
Spin magnetization   0.0 μB/f.u.
V   16.83 Å³/atom
Energy   -59.54 eV per cell
D(E_F)   0.91 states/eV/atom
Formation energy without anion corrections   0.5349 eV/atom

Lattice parameters (Å, degrees): 3.494 4.768 8.083 90.00 90.00 90.00
Space group Cmm2 (No. 35)
Symmetry-distinct sites (fractional):
Co 0.000 0.000 0.000 (multiplicity 2)
Te 0.000 0.500 0.253 (multiplicity 2)
Mo 0.000 0.000 0.552 (multiplicity 2)
Mo 0.000 0.500 0.793 (multiplicity 2)



VASP calculation (PBE) on CeDy2Ho3 after structural relaxation.

Summary:
Spin magnetization   1.1 μB/f.u.
V   35.97 Å³/atom
Energy   -100.92 eV per cell
D(E_F)   2.22 states/eV/atom
Formation energy from the elements   0.61 eV per atom

Lattice parameters (Å, degrees): 11.218 12.062 6.380 90.00 90.00 90.00
Space group Ibam (No. 72)
Symmetry-distinct sites (fractional):
Ce 0.000 0.000 0.000 (multiplicity 4)
Dy 0.242 0.344 0.000 (multiplicity 8)
Ho 0.000 0.235 0.250 (multiplicity 8)
Ho 0.000 0.500 0.250 (multiplicity 4)



VASP calculation (PBE) on CdBiS2Cl after structural relaxation.

Summary:
Spin magnetization   0.0 μB/f.u.
V   32.96 Å³/atom
Energy   -35.03 eV per cell
Formation energy without anion corrections   -0.5239 eV/atom

Lattice parameters (Å, degrees): 7.772 4.254 10.314 90.00 104.87 90.00
Space group P2_1/m (No. 11)
Symmetry-distinct sites (fractional):
Cd 0.001 0.250 0.115 (multiplicity 2)
Bi 0.204 0.750 0.436 (multiplicity 2)
S 0.033 0.750 0.641 (multiplicity 2)
S 0.190 0.750 0.137 (multiplicity 2)
Cl 0.401 0.250 0.599 (multiplicity 2)



VASP calculation (PBE) on NpGa2Pd2 after structural relaxation.

Summary:
Spin magnetization   4.3 μB/f.u.
V   18.92 Å³/atom
Energy   -61.98 eV per cell
D(E_F)   1.22 states/eV/atom
Formation energy from the elements   -0.32 eV per atom

Lattice parameters (Å, degrees): 5.533 4.138 8.264 90.00 90.00 90.00
Space group Pmma (No. 51)
Symmetry-distinct sites (fractional):
Np 0.000 0.000 0.000 (multiplicity 2)
Ga 0.250 0.000 0.399 (multiplicity 2)
Ga 0.250 0.500 0.771 (multiplicity 2)
Pd 0.000 0.500 0.500 (multiplicity 2)
Pd 0.250 0.500 0.206 (multiplicity 2)



VASP calculation (PBE) on RuO2F after structural relaxation.

Summary:
Spin magnetization   0.1 μB/f.u.
V   15.31 Å³/atom
Energy   -92.70 eV per cell
D(E_F)   0.62 states/eV/atom
Formation energy without anion corrections   -0.5281 eV/atom

Lattice parameters (Å, degrees): 5.541 5.541 7.980 90.00 90.00 90.00
Space group I-42d (No. 122)
Symmetry-distinct sites (fractional):
Ru 0.000 0.000 0.000 (multiplicity 4)
O 0.122 0.250 0.125 (multiplicity 8)
F 0.000 0.000 0.500 (multiplicity 4)